LiCrSe3: relaxed, PBE-GGA.

The space group is C2/c (No. 15) and the conventional cell measures 11.088, 13.059 and 6.324 Å, with angles of 90.00, 114.33 and 90.00 degrees. Symmetry generates all atoms from Li at (0.120, 0.095, 0.128), Cr at (0.000, 0.289, 0.750), Cr at (0.000, 0.438, 0.250), Se at (0.127, 0.133, 0.712), Se at (0.134, 0.426, 0.683) and Se at (0.139, 0.299, 0.191).

The value obtained for the distance to the lowest polymorph of the same formula is 0.0000 eV/atom. The value obtained for the energy is -4.999 eV/atom. For the total magnetic moment, the calculation gives 21.4 μB/cell. For the mass density, the calculation gives 4.71 Mg/m³.